# 1
# VTeF

VTeF after structural relaxation (PBE with a Hubbard U, the Alexandria database).

Geometry as POSCAR:
```
VTeF
1.0
3.673 0.000 0.000
0.000 5.443 0.000
0.000 0.000 13.506
V Te F
4 4 4
Direct
0.000 0.000 0.000
0.000 0.500 0.500
0.500 0.000 0.500
0.500 0.500 0.000
0.000 0.000 0.663
0.000 0.500 0.163
0.500 0.000 0.163
0.500 0.500 0.663
0.000 0.000 0.420
0.000 0.500 0.920
0.500 0.000 0.920
0.500 0.500 0.420
```

space-group type: Fmm2 (42)


# 2
# VTe2F

VTe2F after structural relaxation (PBE with a Hubbard U, the Alexandria database).

Geometry as POSCAR:
```
VTe2F
1.0
6.792 0.000 0.000
0.000 6.792 0.000
0.000 0.000 6.792
V Te F
4 8 4
Direct
0.000 0.000 0.000
0.000 0.500 0.500
0.500 0.000 0.500
0.500 0.500 0.000
0.250 0.250 0.250
0.250 0.250 0.750
0.250 0.750 0.250
0.250 0.750 0.750
0.750 0.250 0.250
0.750 0.250 0.750
0.750 0.750 0.250
0.750 0.750 0.750
0.000 0.000 0.500
0.000 0.500 0.000
0.500 0.000 0.000
0.500 0.500 0.500
```

space-group type: Fm-3m (225)


# 3
# VTeF2

VTeF2 after structural relaxation (PBE with a Hubbard U, the Alexandria database).

Geometry as POSCAR:
```
VTeF2
1.0
3.192 0.000 0.000
-1.596 2.764 0.000
0.000 0.000 30.946
V Te F
3 3 6
Direct
0.000 0.000 0.000
0.333 0.667 0.667
0.667 0.333 0.333
0.000 0.000 0.500
0.333 0.667 0.167
0.667 0.333 0.833
0.000 0.000 0.057
0.000 0.000 0.943
0.333 0.667 0.609
0.333 0.667 0.724
0.667 0.333 0.276
0.667 0.333 0.391
```

space-group type: R-3m (166)


# 4
# VTe2F

VTe2F after structural relaxation (PBE with a Hubbard U, the Alexandria database).

Geometry as POSCAR:
```
VTe2F
1.0
5.014 0.000 0.000
0.000 5.014 0.000
0.000 0.000 16.119
V Te F
4 8 4
Direct
0.000 0.000 0.000
0.000 0.500 0.250
0.500 0.000 0.750
0.500 0.500 0.500
0.247 0.250 0.625
0.250 0.747 0.875
0.250 0.753 0.375
0.253 0.250 0.125
0.747 0.750 0.125
0.750 0.247 0.375
0.750 0.253 0.875
0.753 0.750 0.625
0.000 0.000 0.500
0.000 0.500 0.750
0.500 0.000 0.250
0.500 0.500 0.000
```

space-group type: I-42d (122)


# 5
# V2TeF2

V2TeF2 after structural relaxation (PBE with a Hubbard U, the Alexandria database).

Geometry as POSCAR:
```
V2TeF2
1.0
3.663 0.000 0.000
0.000 3.663 0.000
0.000 0.000 12.236
V Te F
4 2 4
Direct
0.000 0.000 0.139
0.000 0.000 0.861
0.500 0.500 0.361
0.500 0.500 0.639
0.000 0.000 0.500
0.500 0.500 0.000
0.000 0.500 0.250
0.000 0.500 0.750
0.500 0.000 0.250
0.500 0.000 0.750
```

space-group type: I4/mmm (139)


# 6
# VTe3F

VTe3F after structural relaxation (PBE with a Hubbard U, the Alexandria database).

Geometry as POSCAR:
```
VTe3F
1.0
5.205 0.000 0.000
0.000 5.205 0.000
0.000 0.000 5.205
V Te F
1 3 1
Direct
0.000 0.000 0.000
0.000 0.000 0.500
0.000 0.500 0.000
0.500 0.000 0.000
0.500 0.500 0.500
```

space-group type: Pm-3m (221)


# 7
# V2TeF2

V2TeF2 after structural relaxation (PBE with a Hubbard U, the Alexandria database).

Geometry as POSCAR:
```
V2TeF2
1.0
7.507 0.000 0.000
0.000 7.507 0.000
0.000 0.000 3.058
V Te F
4 2 4
Direct
0.139 0.361 0.000
0.361 0.861 0.000
0.639 0.139 0.000
0.861 0.639 0.000
0.000 0.000 0.000
0.500 0.500 0.000
0.110 0.610 0.500
0.390 0.110 0.500
0.610 0.890 0.500
0.890 0.390 0.500
```

space-group type: P4/mbm (127)


# 8
# ZrVTeF2

ZrVTeF2 after structural relaxation (PBE with a Hubbard U, the Alexandria database).

Geometry as POSCAR:
```
ZrVTeF2
1.0
4.442 0.000 0.000
0.000 4.442 0.000
0.000 0.000 5.845
Zr V Te F
1 1 1 2
Direct
0.000 0.000 0.000
0.500 0.500 0.000
0.000 0.000 0.500
0.000 0.500 0.500
0.500 0.000 0.500
```

space-group type: P4/mmm (123)


# 9
# ZrVTe2F

ZrVTe2F after structural relaxation (PBE with a Hubbard U, the Alexandria database).

Geometry as POSCAR:
```
ZrVTe2F
1.0
5.665 0.000 0.000
0.000 5.665 0.000
0.000 0.000 4.135
Zr V Te F
1 1 2 1
Direct
0.000 0.000 0.000
0.500 0.500 0.500
0.000 0.500 0.000
0.500 0.000 0.000
0.000 0.000 0.500
```

space-group type: P4/mmm (123)


# 10
# Te2WF

Te2WF after structural relaxation (PBE with a Hubbard U, the Alexandria database).

Geometry as POSCAR:
```
Te2WF
1.0
4.344 0.000 0.000
-2.172 3.762 0.000
0.000 0.000 22.183
Te W F
6 3 3
Direct
0.000 0.000 0.103
0.000 0.000 0.897
0.333 0.667 0.563
0.333 0.667 0.770
0.667 0.333 0.230
0.667 0.333 0.437
0.000 0.000 0.500
0.333 0.667 0.167
0.667 0.333 0.833
0.000 0.000 0.000
0.333 0.667 0.667
0.667 0.333 0.333
```

space-group type: R-3m (166)


# 11
# Te2WF

Te2WF after structural relaxation (PBE with a Hubbard U, the Alexandria database).

Geometry as POSCAR:
```
Te2WF
1.0
6.827 0.000 0.000
0.000 6.827 0.000
0.000 0.000 6.827
Te W F
8 4 4
Direct
0.250 0.250 0.250
0.250 0.250 0.750
0.250 0.750 0.250
0.250 0.750 0.750
0.750 0.250 0.250
0.750 0.250 0.750
0.750 0.750 0.250
0.750 0.750 0.750
0.000 0.000 0.000
0.000 0.500 0.500
0.500 0.000 0.500
0.500 0.500 0.000
0.000 0.000 0.500
0.000 0.500 0.000
0.500 0.000 0.000
0.500 0.500 0.500
```

space-group type: Fm-3m (225)


# 12
# Te3WF

Te3WF after structural relaxation (PBE with a Hubbard U, the Alexandria database).

Geometry as POSCAR:
```
Te3WF
1.0
4.961 0.000 0.000
0.000 4.961 0.000
0.000 0.000 4.961
Te W F
3 1 1
Direct
0.000 0.000 0.500
0.000 0.500 0.000
0.500 0.000 0.000
0.500 0.500 0.500
0.000 0.000 0.000
```

space-group type: Pm-3m (221)


# 13
# TeW2F

TeW2F after structural relaxation (PBE with a Hubbard U, the Alexandria database).

Geometry as POSCAR:
```
TeW2F
1.0
6.752 0.000 0.000
0.000 6.752 0.000
0.000 0.000 6.752
Te W F
4 8 4
Direct
0.000 0.000 0.000
0.000 0.500 0.500
0.500 0.000 0.500
0.500 0.500 0.000
0.250 0.250 0.250
0.250 0.250 0.750
0.250 0.750 0.250
0.250 0.750 0.750
0.750 0.250 0.250
0.750 0.250 0.750
0.750 0.750 0.250
0.750 0.750 0.750
0.000 0.000 0.500
0.000 0.500 0.000
0.500 0.000 0.000
0.500 0.500 0.500
```

space-group type: Fm-3m (225)


# 14
# Te2WF

Te2WF after structural relaxation (PBE with a Hubbard U, the Alexandria database).

Geometry as POSCAR:
```
Te2WF
1.0
3.062 0.000 0.000
-1.531 2.652 0.000
0.000 0.000 29.906
Te W F
6 3 3
Direct
0.000 0.000 0.095
0.000 0.000 0.905
0.333 0.667 0.572
0.333 0.667 0.761
0.667 0.333 0.239
0.667 0.333 0.428
0.000 0.000 0.000
0.333 0.667 0.667
0.667 0.333 0.333
0.000 0.000 0.500
0.333 0.667 0.167
0.667 0.333 0.833
```

space-group type: R-3m (166)


# 15
# Te2WF

Te2WF after structural relaxation (PBE with a Hubbard U, the Alexandria database).

Geometry as POSCAR:
```
Te2WF
1.0
6.746 0.000 0.000
0.000 6.746 0.000
0.000 0.000 10.298
Te W F
8 4 4
Direct
0.247 0.250 0.125
0.250 0.747 0.375
0.250 0.753 0.875
0.253 0.250 0.625
0.747 0.750 0.625
0.750 0.247 0.875
0.750 0.253 0.375
0.753 0.750 0.125
0.000 0.000 0.000
0.000 0.500 0.250
0.500 0.000 0.750
0.500 0.500 0.500
0.000 0.000 0.500
0.000 0.500 0.750
0.500 0.000 0.250
0.500 0.500 0.000
```

space-group type: I-42d (122)


# 16
# Te3WF

Te3WF after structural relaxation (PBE with a Hubbard U, the Alexandria database).

Geometry as POSCAR:
```
Te3WF
1.0
5.266 0.000 0.000
0.000 5.266 0.000
0.000 0.000 5.266
Te W F
3 1 1
Direct
0.000 0.000 0.500
0.000 0.500 0.000
0.500 0.000 0.000
0.000 0.000 0.000
0.500 0.500 0.500
```

space-group type: Pm-3m (221)


# 17
# TeW2F

TeW2F after structural relaxation (PBE with a Hubbard U, the Alexandria database).

Geometry as POSCAR:
```
TeW2F
1.0
5.382 0.000 0.000
0.000 5.382 0.000
0.000 0.000 14.290
Te W F
4 8 4
Direct
0.000 0.000 0.000
0.000 0.500 0.250
0.500 0.000 0.750
0.500 0.500 0.500
0.132 0.250 0.625
0.250 0.632 0.875
0.250 0.868 0.375
0.368 0.250 0.125
0.632 0.750 0.125
0.750 0.132 0.375
0.750 0.368 0.875
0.868 0.750 0.625
0.000 0.000 0.500
0.000 0.500 0.750
0.500 0.000 0.250
0.500 0.500 0.000
```

space-group type: I-42d (122)


# 18
# TeWF3

TeWF3 after structural relaxation (PBE with a Hubbard U, the Alexandria database).

Geometry as POSCAR:
```
TeWF3
1.0
4.627 0.000 0.000
0.000 4.627 0.000
0.000 0.000 4.627
Te W F
1 1 3
Direct
0.000 0.000 0.000
0.500 0.500 0.500
0.000 0.000 0.500
0.000 0.500 0.000
0.500 0.000 0.000
```

space-group type: Pm-3m (221)


# 19
# TeW3F

TeW3F after structural relaxation (PBE with a Hubbard U, the Alexandria database).

Geometry as POSCAR:
```
TeW3F
1.0
4.460 0.000 0.000
0.000 4.460 0.000
0.000 0.000 4.460
Te W F
1 3 1
Direct
0.000 0.000 0.000
0.000 0.500 0.500
0.500 0.000 0.500
0.500 0.500 0.000
0.500 0.500 0.500
```

space-group type: Pm-3m (221)


# 20
# TeWF3

TeWF3 after structural relaxation (PBE with a Hubbard U, the Alexandria database).

Geometry as POSCAR:
```
TeWF3
1.0
4.407 0.000 0.000
0.000 4.407 0.000
0.000 0.000 4.407
Te W F
1 1 3
Direct
0.000 0.000 0.000
0.500 0.500 0.500
0.000 0.500 0.500
0.500 0.000 0.500
0.500 0.500 0.000
```

space-group type: Pm-3m (221)


Number 1: VASP energy -5.055 eV/atom, total moment 11.9 μB per cell. Number 2: VASP energy -4.281 eV/atom, total moment 13.0 μB per cell. Number 3: VASP energy -4.739 eV/atom, total moment 7.1 μB per cell. Number 4: VASP energy -3.979 eV/atom, total moment 10.0 μB per cell. Number 5: VASP energy -5.611 eV/atom, total moment 11.7 μB per cell. Number 6: VASP energy -3.519 eV/atom, total moment 0.0 μB per cell. Number 7: VASP energy -5.132 eV/atom, total moment 13.3 μB per cell. Number 8: VASP energy -4.680 eV/atom, total moment 2.3 μB per cell. Number 9: VASP energy -5.356 eV/atom, total moment 0.1 μB per cell. Number 10: VASP energy -4.177 eV/atom, total moment 8.7 μB per cell. Number 11: VASP energy -4.151 eV/atom, total moment 8.6 μB per cell. Number 12: VASP energy -3.096 eV/atom, total moment 3.7 μB per cell. Number 13: VASP energy -4.146 eV/atom, total moment 27.5 μB per cell. Number 14: VASP energy -3.424 eV/atom, total moment 0.0 μB per cell. Number 15: VASP energy -3.768 eV/atom, total moment 4.0 μB per cell. Number 16: VASP energy -3.257 eV/atom, total moment 0.1 μB per cell. Number 17: VASP energy -4.270 eV/atom, total moment 27.8 μB per cell. Number 18: VASP energy -3.498 eV/atom, total moment 5.1 μB per cell. Number 19: VASP energy -3.819 eV/atom, total moment 3.0 μB per cell. Number 20: VASP energy -4.615 eV/atom, total moment 1.0 μB per cell.